(1)
A relaxed structure of LiOsRh3. Source: Alexandria, functional PBE.

Computed properties:
energy above the lowest structure with this stoichiometry: 0.00 eV per formula unit
spin magnetization: 0.00 μB/cell
SG: C2/m (12)
D(E_F): 10.331 states/eV/cell
V: 13.9 Å³ per atom
energy of formation from the pure elements: -13 meV per atom

abc: 2.7276 8.3746 6.9469
angles: 107.86 66.85 99.39
Positions (direct):
Li: 0.1647 0.3709 0.5220
Li: 0.3506 0.8469 0.5736
Os: 0.7458 0.4470 0.9787
Os: 0.7696 0.7708 0.1169
Rh: 0.3647 0.1820 0.7276
Rh: 0.1506 0.0358 0.3681
Rh: 0.5561 0.6323 0.7615
Rh: 0.9627 0.2410 0.1589
Rh: 0.5526 0.9768 0.9368
Rh: 0.9592 0.5855 0.3342


(2)
A relaxed structure of PmNd8In2. Source: Alexandria, functional PBE.

Computed properties:
spin magnetization: 0.00 μB/cell
SG: C2/m (12)
D(E_F): 14.603 states/eV/cell
V: 33.2 Å³ per atom
energy of formation from the pure elements: -93 meV per atom

abc: 6.2621 10.1326 10.1326
angles: 39.42 65.07 65.07
Positions (direct):
Pm: 0.0000 0.0000 0.0000
Nd: 0.2370 0.0883 0.5662
Nd: 0.2370 0.5662 0.0883
Nd: 0.7630 0.9117 0.4338
Nd: 0.2624 0.4987 0.4987
Nd: 0.7630 0.4338 0.9117
Nd: 0.3037 0.1362 0.1362
Nd: 0.6963 0.8638 0.8638
Nd: 0.7376 0.5013 0.5013
In: 0.7537 0.3211 0.3211
In: 0.2463 0.6789 0.6789


(3)
A relaxed structure of Mn2Ir2N. Source: Alexandria, functional PBE.

Computed properties:
energy above the lowest structure with this stoichiometry: 0.00 eV per formula unit
spin magnetization: 9.76 μB/cell
SG: P4/mbm (127)
D(E_F): 5.424 states/eV/cell
V: 14.0 Å³ per atom
energy relative to the elements, uncorrected: 1.05 eV/atom

abc: 6.8886 6.8886 2.9523
angles: 90.00 90.00 90.00
Positions (direct):
Ir: 0.1323 0.6323 0.5000
Ir: 0.6323 0.8677 0.5000
Ir: 0.8677 0.3677 0.5000
Ir: 0.3677 0.1323 0.5000
Mn: 0.3318 0.8318 0.0000
Mn: 0.8318 0.6682 0.0000
Mn: 0.6682 0.1682 0.0000
Mn: 0.1682 0.3318 0.0000
N: 0.0000 0.0000 0.0000
N: 0.5000 0.5000 0.0000


(4)
A relaxed structure of InFe2W. Source: Alexandria, functional PBE.

Computed properties:
spin magnetization: 1.12 μB/cell
SG: P4/mmm (123)
D(E_F): 3.059 states/eV/cell
V: 14.4 Å³ per atom
energy of formation from the pure elements: 186 meV per atom

abc: 3.0287 3.0287 6.2937
angles: 90.00 90.00 90.00
Positions (direct):
Fe: 0.0000 0.0000 0.9670
Fe: 0.0000 0.0000 0.5330
In: 0.5000 0.5000 0.2500
W: 0.5000 0.5000 0.7500


(5)
A relaxed structure of Tm6OsPt3. Source: Alexandria, functional PBE.

Computed properties:
spin magnetization: 0.00 μB/cell
SG: Pnnm (58)
D(E_F): 11.990 states/eV/cell
V: 23.1 Å³ per atom
energy of formation from the pure elements: -802 meV per atom

abc: 4.7958 8.1494 11.8259
angles: 90.00 90.00 90.00
Positions (direct):
Tm: 0.5000 0.1533 0.9103
Tm: 0.5000 0.1748 0.5764
Tm: 0.5000 0.5000 0.2472
Tm: 0.5000 0.5000 0.7528
Tm: 0.5000 0.8252 0.4236
Tm: 0.5000 0.8467 0.0897
Tm: 0.0000 0.3467 0.4103
Tm: 0.0000 0.3252 0.0764
Tm: 0.0000 0.0000 0.7472
Tm: 0.0000 0.0000 0.2528
Tm: 0.0000 0.6748 0.9236
Tm: 0.0000 0.6533 0.5897
Os: 0.5000 0.5000 0.5000
Os: 0.0000 0.0000 0.0000
Pt: 0.5000 0.8328 0.6703
Pt: 0.5000 0.5000 0.0000
Pt: 0.5000 0.1672 0.3297
Pt: 0.0000 0.6672 0.1703
Pt: 0.0000 0.0000 0.5000
Pt: 0.0000 0.3328 0.8297


(6)
A relaxed structure of FeMoPt2. Source: Alexandria, functional PBE.

Computed properties:
spin magnetization: 2.88 μB/cell
SG: P4mm (99)
D(E_F): 3.074 states/eV/cell
V: 14.8 Å³ per atom
energy of formation from the pure elements: -158 meV per atom

abc: 2.7266 2.7266 7.9513
angles: 90.00 90.00 90.00
Positions (direct):
Fe: 0.0000 0.0000 0.4958
Mo: 0.5000 0.5000 0.7433
Pt: 0.0000 0.0000 0.9932
Pt: 0.5000 0.5000 0.2678


(7)
A relaxed structure of LaBe3Co. Source: Alexandria, functional PBE.

Computed properties:
energy above the lowest structure with this stoichiometry: 12.79 eV per formula unit
spin magnetization: 0.43 μB/cell
SG: Pm-3m (221)
D(E_F): 12.905 states/eV/cell
V: 22.2 Å³ per atom
energy of formation from the pure elements: 2524 meV per atom

abc: 4.8065 4.8065 4.8065
angles: 90.00 90.00 90.00
Positions (direct):
Be: 0.0000 0.5000 0.0000
Be: 0.0000 0.0000 0.5000
Be: 0.5000 0.0000 0.0000
Co: 0.5000 0.5000 0.5000
La: 0.0000 0.0000 0.0000


(8)
A relaxed structure of Cs2AuCN. Source: Alexandria, functional PBE.

Computed properties:
spin magnetization: 0.00 μB/cell
SG: P4/mmm (123)
D(E_F): 1.928 states/eV/cell
V: 26.6 Å³ per atom
energy relative to the elements, uncorrected: 0.78 eV/atom

abc: 6.4429 3.2070 6.4429
angles: 90.00 90.00 90.00
Positions (direct):
Cs: 0.0000 0.0000 0.5000
Cs: 0.5000 0.0000 0.0000
C: 0.0000 0.5000 0.0000
Au: 0.5000 0.5000 0.5000
N: 0.0000 0.0000 0.0000


(9)
A relaxed structure of PrMgCl6. Source: Alexandria, functional PBE.

Computed properties:
spin magnetization: 0.12 μB/cell
SG: Fm-3m (225)
D(E_F): 10.832 states/eV/cell
V: 36.2 Å³ per atom
energy relative to the elements, uncorrected: -1.63 eV/atom

abc: 7.4289 7.4289 7.4289
angles: 60.00 60.00 60.00
Positions (direct):
Pr: 0.5000 0.5000 0.5000
Mg: 0.0000 0.0000 0.0000
Cl: 0.7624 0.7624 0.2376
Cl: 0.7624 0.2376 0.2376
Cl: 0.2376 0.7624 0.7624
Cl: 0.2376 0.2376 0.7624
Cl: 0.2376 0.7624 0.2376
Cl: 0.7624 0.2376 0.7624